(1)
# KRbZrBr6 (GGA-PBE, relaxed)
# E: -69.7 eV per cell
# Formation energy (no corrections): -1.58 eV per atom
data_KRbZrBr6
_cell_length_a 8.043
_cell_length_b 8.043
_cell_length_c 13.501
_cell_angle_alpha 90.00
_cell_angle_beta 90.00
_cell_angle_gamma 120.00
_symmetry_space_group_name_H-M 'P 1'
_symmetry_Int_Tables_number 1
_symmetry_space_group_name_Hall 'P 1'
loop_
_atom_site_label
_atom_site_type_symbol
_atom_site_fract_x
_atom_site_fract_y
_atom_site_fract_z
K1 K 0.333 0.667 0.250
K2 K 0.667 0.333 0.750
Rb1 Rb 0.000 0.000 0.000
Rb2 Rb 0.000 0.000 0.500
Zr1 Zr 0.333 0.667 0.750
Zr2 Zr 0.667 0.333 0.250
Br1 Br 0.062 0.400 0.636
Br2 Br 0.062 0.662 0.864
Br3 Br 0.338 0.400 0.864
Br4 Br 0.338 0.938 0.636
Br5 Br 0.400 0.062 0.136
Br6 Br 0.400 0.338 0.364
Br7 Br 0.600 0.662 0.636
Br8 Br 0.600 0.938 0.864
Br9 Br 0.662 0.062 0.364
Br10 Br 0.662 0.600 0.136
Br11 Br 0.938 0.338 0.136
Br12 Br 0.938 0.600 0.364

=====

(2)
# KRe2Br (GGA-PBE, relaxed)
# E: -26.5 eV per cell
# ΔE to the lowest computed polymorph: 0.000 eV per atom
# Formation energy (no corrections): 0.29 eV per atom
data_KRe2Br
_cell_length_a 3.725
_cell_length_b 3.725
_cell_length_c 8.903
_cell_angle_alpha 90.01
_cell_angle_beta 90.01
_cell_angle_gamma 60.03
_symmetry_space_group_name_H-M 'P 1'
_symmetry_Int_Tables_number 1
_symmetry_space_group_name_Hall 'P 1'
loop_
_atom_site_label
_atom_site_type_symbol
_atom_site_fract_x
_atom_site_fract_y
_atom_site_fract_z
K1 K 0.000 0.000 0.000
Re1 Re 0.332 0.332 0.452
Re2 Re 0.666 0.666 0.330
Br1 Br 0.333 0.333 0.739

=====

(3)
# KRe2Br (GGA-PBE, relaxed)
# E: -22.0 eV per cell
# ΔE to the lowest computed polymorph: 1.127 eV per atom
# Formation energy (no corrections): 1.42 eV per atom
data_KRe2Br
_cell_length_a 7.584
_cell_length_b 7.584
_cell_length_c 2.568
_cell_angle_alpha 90.00
_cell_angle_beta 90.00
_cell_angle_gamma 139.02
_symmetry_space_group_name_H-M 'P 1'
_symmetry_Int_Tables_number 1
_symmetry_space_group_name_Hall 'P 1'
loop_
_atom_site_label
_atom_site_type_symbol
_atom_site_fract_x
_atom_site_fract_y
_atom_site_fract_z
K1 K 0.000 0.000 0.000
Re1 Re 0.000 0.500 0.500
Re2 Re 0.500 0.000 0.500
Br1 Br 0.500 0.500 0.000

=====

(4)
# KReBr (GGA-PBE, relaxed)
# E: -12.1 eV per cell
# ΔE to the lowest computed polymorph: 0.000 eV per atom
# Formation energy (no corrections): 1.04 eV per atom
data_KReBr
_cell_length_a 3.139
_cell_length_b 3.139
_cell_length_c 7.625
_cell_angle_alpha 90.00
_cell_angle_beta 90.00
_cell_angle_gamma 120.00
_symmetry_space_group_name_H-M 'P 1'
_symmetry_Int_Tables_number 1
_symmetry_space_group_name_Hall 'P 1'
loop_
_atom_site_label
_atom_site_type_symbol
_atom_site_fract_x
_atom_site_fract_y
_atom_site_fract_z
K1 K 0.000 0.000 0.000
Re1 Re 0.667 0.333 0.372
Br1 Br 0.333 0.667 0.628

=====

(5)
# KRe2Br (GGA-PBE, relaxed)
# E: -21.3 eV per cell
# ΔE to the lowest computed polymorph: 1.310 eV per atom
# Formation energy (no corrections): 1.60 eV per atom
data_KRe2Br
_cell_length_a 4.732
_cell_length_b 4.732
_cell_length_c 4.732
_cell_angle_alpha 60.00
_cell_angle_beta 60.00
_cell_angle_gamma 60.00
_symmetry_space_group_name_H-M 'P 1'
_symmetry_Int_Tables_number 1
_symmetry_space_group_name_Hall 'P 1'
loop_
_atom_site_label
_atom_site_type_symbol
_atom_site_fract_x
_atom_site_fract_y
_atom_site_fract_z
K1 K 0.000 0.000 0.000
Re1 Re 0.250 0.250 0.250
Re2 Re 0.500 0.500 0.500
Br1 Br 0.750 0.750 0.750

=====

(6)
# KRe2Br (GGA-PBE, relaxed)
# E: -22.4 eV per cell
# ΔE to the lowest computed polymorph: 1.028 eV per atom
# Formation energy (no corrections): 1.32 eV per atom
data_KRe2Br
_cell_length_a 2.636
_cell_length_b 6.002
_cell_length_c 6.579
_cell_angle_alpha 90.00
_cell_angle_beta 90.00
_cell_angle_gamma 90.00
_symmetry_space_group_name_H-M 'P 1'
_symmetry_Int_Tables_number 1
_symmetry_space_group_name_Hall 'P 1'
loop_
_atom_site_label
_atom_site_type_symbol
_atom_site_fract_x
_atom_site_fract_y
_atom_site_fract_z
K1 K 0.000 0.000 0.000
Re1 Re 0.500 0.188 0.500
Re2 Re 0.500 0.812 0.500
Br1 Br 0.000 0.500 0.000

=====

(7)
# KRe2Br (GGA-PBE, relaxed)
# E: -19.8 eV per cell
# ΔE to the lowest computed polymorph: 1.682 eV per atom
# Formation energy (no corrections): 1.97 eV per atom
data_KRe2Br
_cell_length_a 3.457
_cell_length_b 3.457
_cell_length_c 8.074
_cell_angle_alpha 90.00
_cell_angle_beta 90.00
_cell_angle_gamma 90.00
_symmetry_space_group_name_H-M 'P 1'
_symmetry_Int_Tables_number 1
_symmetry_space_group_name_Hall 'P 1'
loop_
_atom_site_label
_atom_site_type_symbol
_atom_site_fract_x
_atom_site_fract_y
_atom_site_fract_z
K1 K 0.000 0.000 0.000
Re1 Re 0.500 0.500 0.353
Re2 Re 0.500 0.500 0.647
Br1 Br 0.000 0.000 0.500

=====

(8)
# KRe2Br (GGA-PBE, relaxed)
# E: -23.2 eV per cell
# ΔE to the lowest computed polymorph: 0.839 eV per atom
# Formation energy (no corrections): 1.13 eV per atom
data_KRe2Br
_cell_length_a 7.874
_cell_length_b 7.874
_cell_length_c 2.765
_cell_angle_alpha 100.09
_cell_angle_beta 100.09
_cell_angle_gamma 138.94
_symmetry_space_group_name_H-M 'P 1'
_symmetry_Int_Tables_number 1
_symmetry_space_group_name_Hall 'P 1'
loop_
_atom_site_label
_atom_site_type_symbol
_atom_site_fract_x
_atom_site_fract_y
_atom_site_fract_z
K1 K 0.000 0.000 0.000
Re1 Re 0.000 0.500 0.000
Re2 Re 0.500 0.000 0.000
Br1 Br 0.500 0.500 0.000

=====

(9)
# KRe2Br (GGA-PBE, relaxed)
# E: -21.6 eV per cell
# ΔE to the lowest computed polymorph: 1.221 eV per atom
# Formation energy (no corrections): 1.51 eV per atom
data_KRe2Br
_cell_length_a 10.503
_cell_length_b 10.503
_cell_length_c 10.503
_cell_angle_alpha 16.02
_cell_angle_beta 16.02
_cell_angle_gamma 16.02
_symmetry_space_group_name_H-M 'P 1'
_symmetry_Int_Tables_number 1
_symmetry_space_group_name_Hall 'P 1'
loop_
_atom_site_label
_atom_site_type_symbol
_atom_site_fract_x
_atom_site_fract_y
_atom_site_fract_z
K1 K 0.000 0.000 0.000
Re1 Re 0.236 0.236 0.236
Re2 Re 0.764 0.764 0.764
Br1 Br 0.500 0.500 0.500

=====

(10)
# KRe3Br (GGA-PBE, relaxed)
# E: -18.7 eV per cell
# ΔE to the lowest computed polymorph: 1.759 eV per atom
# Formation energy (no corrections): 4.28 eV per atom
data_KRe3Br
_cell_length_a 4.735
_cell_length_b 4.735
_cell_length_c 4.735
_cell_angle_alpha 90.00
_cell_angle_beta 90.00
_cell_angle_gamma 90.00
_symmetry_space_group_name_H-M 'P 1'
_symmetry_Int_Tables_number 1
_symmetry_space_group_name_Hall 'P 1'
loop_
_atom_site_label
_atom_site_type_symbol
_atom_site_fract_x
_atom_site_fract_y
_atom_site_fract_z
K1 K 0.000 0.000 0.000
Re1 Re 0.000 0.000 0.500
Re2 Re 0.000 0.500 0.000
Re3 Re 0.500 0.000 0.000
Br1 Br 0.500 0.500 0.500

=====

(11)
# KRe2Br (GGA-PBE, relaxed)
# E: -22.6 eV per cell
# ΔE to the lowest computed polymorph: 0.982 eV per atom
# Formation energy (no corrections): 1.27 eV per atom
data_KRe2Br
_cell_length_a 7.518
_cell_length_b 7.518
_cell_length_c 7.518
_cell_angle_alpha 150.84
_cell_angle_beta 150.84
_cell_angle_gamma 41.72
_symmetry_space_group_name_H-M 'P 1'
_symmetry_Int_Tables_number 1
_symmetry_space_group_name_Hall 'P 1'
loop_
_atom_site_label
_atom_site_type_symbol
_atom_site_fract_x
_atom_site_fract_y
_atom_site_fract_z
K1 K 0.000 0.000 0.000
Re1 Re 0.250 0.750 0.500
Re2 Re 0.750 0.250 0.500
Br1 Br 0.500 0.500 0.000

=====

(12)
# KRe2Br (GGA-PBE, relaxed)
# E: -25.8 eV per cell
# ΔE to the lowest computed polymorph: 0.168 eV per atom
# Formation energy (no corrections): 0.46 eV per atom
data_KRe2Br
_cell_length_a 3.158
_cell_length_b 3.158
_cell_length_c 8.801
_cell_angle_alpha 90.00
_cell_angle_beta 90.00
_cell_angle_gamma 90.00
_symmetry_space_group_name_H-M 'P 1'
_symmetry_Int_Tables_number 1
_symmetry_space_group_name_Hall 'P 1'
loop_
_atom_site_label
_atom_site_type_symbol
_atom_site_fract_x
_atom_site_fract_y
_atom_site_fract_z
K1 K 0.000 0.000 0.000
Re1 Re 0.000 0.000 0.477
Re2 Re 0.500 0.500 0.335
Br1 Br 0.500 0.500 0.743

=====

(13)
# KReBr4 (GGA-PBE, relaxed)
# E: -15.4 eV per cell
# Formation energy (no corrections): 0.80 eV per atom
data_KReBr4
_cell_length_a 6.562
_cell_length_b 6.562
_cell_length_c 6.562
_cell_angle_alpha 60.00
_cell_angle_beta 60.00
_cell_angle_gamma 60.00
_symmetry_space_group_name_H-M 'P 1'
_symmetry_Int_Tables_number 1
_symmetry_space_group_name_Hall 'P 1'
loop_
_atom_site_label
_atom_site_type_symbol
_atom_site_fract_x
_atom_site_fract_y
_atom_site_fract_z
K1 K 0.000 0.000 0.000
Re1 Re 0.750 0.750 0.750
Br1 Br 0.375 0.375 0.375
Br2 Br 0.375 0.375 0.874
Br3 Br 0.375 0.874 0.375
Br4 Br 0.874 0.375 0.375

=====

(14)
# KReBr (GGA-PBE, relaxed)
# E: -12.1 eV per cell
# ΔE to the lowest computed polymorph: 0.018 eV per atom
# Formation energy (no corrections): 1.05 eV per atom
data_KReBr
_cell_length_a 6.950
_cell_length_b 6.950
_cell_length_c 6.950
_cell_angle_alpha 152.83
_cell_angle_beta 152.83
_cell_angle_gamma 38.80
_symmetry_space_group_name_H-M 'P 1'
_symmetry_Int_Tables_number 1
_symmetry_space_group_name_Hall 'P 1'
loop_
_atom_site_label
_atom_site_type_symbol
_atom_site_fract_x
_atom_site_fract_y
_atom_site_fract_z
K1 K 0.000 0.000 0.000
Re1 Re 0.296 0.296 0.000
Br1 Br 0.708 0.708 0.000